First-principles (PBE) data for an optimized crystal structure of ScCd2Te, as listed in Alexandria via LeMat-Bulk.

DOS(E_F) ... 0.826 states/eV per atom
Calculated density ... 6.27 g/cm3
Raw formation energy ... -0.025 eV/atom
Total magnetization ... 0.0 μB/cell
Total DFT energy (no corrections) ... -2.85 eV/atom

abc: 3.7243 3.7243 26.2652
angles: 90.00 90.00 120.00
Space group R-3m (No. 166, hexagonal axes)
Symmetry-distinct sites (fractional):
1 Sc 0.0000 0.0000 0.0000 (multiplicity 3)
2 Cd 0.0000 0.0000 0.2500 (multiplicity 6)
3 Te 0.0000 0.0000 0.5000 (multiplicity 3)